Entry 1:
A geometry-optimized Tm2AlCu2Rh5 structure, computed with PBE. Values from VASP.

Structure (Quantum ESPRESSO input):
```
&SYSTEM
  ibrav = 0, nat = 20, ntyp = 4
/
ATOMIC_SPECIES
Tm 168.93 Tm.upf
Al 26.98 Al.upf
Cu 63.55 Cu.upf
Rh 102.91 Rh.upf
CELL_PARAMETERS angstrom
9.291 0.000 0.000
0.000 9.291 0.000
0.000 0.000 3.718
ATOMIC_POSITIONS crystal
Tm 0.173 0.327 0.000
Tm 0.327 0.827 0.000
Tm 0.673 0.173 0.000
Tm 0.827 0.673 0.000
Al 0.000 0.000 0.000
Al 0.500 0.500 0.000
Cu 0.126 0.626 0.000
Cu 0.374 0.126 0.000
Cu 0.626 0.874 0.000
Cu 0.874 0.374 0.000
Rh 0.000 0.500 0.500
Rh 0.068 0.801 0.500
Rh 0.199 0.068 0.500
Rh 0.301 0.568 0.500
Rh 0.432 0.301 0.500
Rh 0.500 0.000 0.500
Rh 0.568 0.699 0.500
Rh 0.699 0.432 0.500
Rh 0.801 0.932 0.500
Rh 0.932 0.199 0.500
```

Output
Total energy ... -126.64 eV for the cell shown
Space-group type ... P4/mbm (127)
DOS(E_F) ... 1.022 states/eV per atom

---

Entry 2:
A geometry-optimized Pm5Y6Sc2 structure, computed with PBE. Values from VASP.

Structure (Quantum ESPRESSO input):
```
&SYSTEM
  ibrav = 0, nat = 26, ntyp = 3
/
ATOMIC_SPECIES
Pm 145.00 Pm.upf
Y 88.91 Y.upf
Sc 44.96 Sc.upf
CELL_PARAMETERS angstrom
10.715 0.000 0.000
0.000 22.385 0.000
0.000 0.000 3.534
ATOMIC_POSITIONS crystal
Pm 0.000 0.000 0.000
Pm 0.086 0.251 0.000
Pm 0.166 0.510 0.000
Pm 0.334 0.010 0.000
Pm 0.414 0.751 0.000
Pm 0.500 0.500 0.000
Pm 0.586 0.249 0.000
Pm 0.666 0.990 0.000
Pm 0.834 0.490 0.000
Pm 0.914 0.749 0.000
Y 0.034 0.387 0.500
Y 0.137 0.118 0.500
Y 0.166 0.860 0.000
Y 0.334 0.360 0.000
Y 0.363 0.618 0.500
Y 0.466 0.887 0.500
Y 0.534 0.113 0.500
Y 0.637 0.382 0.500
Y 0.666 0.640 0.000
Y 0.834 0.140 0.000
Y 0.863 0.882 0.500
Y 0.966 0.613 0.500
Sc 0.164 0.729 0.500
Sc 0.336 0.229 0.500
Sc 0.664 0.771 0.500
Sc 0.836 0.271 0.500
```

Output
Total energy ... -146.88 eV for the cell shown
Space-group type ... Pbam (55)
DOS(E_F) ... 1.516 states/eV per atom

---

Entry 3:
A geometry-optimized Ca3Al2P4 structure, computed with PBE. Values from VASP.

Structure (Quantum ESPRESSO input):
```
&SYSTEM
  ibrav = 0, nat = 18, ntyp = 3
/
ATOMIC_SPECIES
Ca 40.08 Ca.upf
Al 26.98 Al.upf
P 30.97 P.upf
CELL_PARAMETERS angstrom
6.619 0.000 0.000
0.000 15.267 0.000
0.000 0.000 4.000
ATOMIC_POSITIONS crystal
Ca 0.000 0.000 0.000
Ca 0.206 0.300 0.500
Ca 0.294 0.800 0.000
Ca 0.500 0.500 0.500
Ca 0.706 0.200 0.000
Ca 0.794 0.700 0.500
Al 0.123 0.582 0.000
Al 0.377 0.082 0.500
Al 0.623 0.918 0.500
Al 0.877 0.418 0.000
P 0.235 0.433 0.000
P 0.239 0.661 0.500
P 0.261 0.161 0.000
P 0.265 0.933 0.500
P 0.735 0.067 0.500
P 0.739 0.839 0.000
P 0.761 0.339 0.500
P 0.765 0.567 0.000
```

Output
Total energy ... -88.46 eV for the cell shown
Space-group type ... Pnnm (58)

---

Entry 4:
A geometry-optimized CaCe2Co structure, computed with PBE. Values from VASP.

Structure (Quantum ESPRESSO input):
```
&SYSTEM
  ibrav = 0, nat = 4, ntyp = 3
/
ATOMIC_SPECIES
Ca 40.08 Ca.upf
Ce 140.12 Ce.upf
Co 58.93 Co.upf
CELL_PARAMETERS angstrom
3.497 0.000 0.000
0.000 3.497 0.000
0.000 0.000 9.006
ATOMIC_POSITIONS crystal
Ca 0.000 0.000 0.000
Ce 0.500 0.500 0.344
Ce 0.500 0.500 0.656
Co 0.000 0.000 0.500
```

Output
Space-group type ... P4/mmm (123)
DOS(E_F) ... 2.310 states/eV per atom
Distance to the lowest polymorph of the same formula ... 27 meV per atom

---

The evaluated V for the records listed, in turn: 16.0, 32.6, 22.5, 27.5 Å³ per atom.